DFT (PBE) results for Np2Si3Ni4Ge after structural relaxation. Values from VASP.

SG = P-4m2
formation energy (no corrections) = -4.9 eV/f.u.

Geometry as Quantum ESPRESSO input:
```
&SYSTEM
  ibrav = 0, nat = 10, ntyp = 4
/
ATOMIC_SPECIES
Np 237.00 Np.upf
Si 28.09 Si.upf
Ni 58.69 Ni.upf
Ge 72.64 Ge.upf
CELL_PARAMETERS angstrom
4.010 0.000 0.000
0.000 4.010 0.000
0.000 0.000 9.473
ATOMIC_POSITIONS crystal
Np 0.000 0.500 0.246
Np 0.500 0.000 0.754
Si 0.000 0.500 0.871
Si 0.500 0.000 0.129
Si 0.500 0.500 0.500
Ni 0.000 0.000 0.000
Ni 0.000 0.500 0.629
Ni 0.500 0.000 0.371
Ni 0.500 0.500 0.000
Ge 0.000 0.000 0.500
```